## ErUCo (PBE)

Data for crystalline ErUCo at its relaxed geometry.

```
3
Lattice="-1.170 -3.990 -1.901 -4.334 -0.755 -1.245 -1.107 -0.183 -4.433" Properties=species:S:1:pos:R:3 pbc="T T T"
Co 0.000 0.000 0.000
Er -1.653 -1.232 -1.895
U -4.958 -3.696 -5.684
```

Summary:
size of the total moment: 2.69 Bohr magnetons per cell
ΔE_f: 0.35 eV per atom
uncorrected energy: -7.301 eV per atom
energy relative to the lowest polymorph listed for this composition: 0.0 meV/atom